A relaxed B5C7 crystal, computed with PBE-GGA.

Lattice parameters (Å, degrees): 4.537 4.537 8.232 118.22 118.22 31.77
Fractional positions:
C (0.857, 0.857, 0.046)
C (0.369, 0.369, 0.154)
B (0.158, 0.158, 0.693)
C (0.974, 0.974, 0.506)
C (0.335, 0.335, 0.672)
C (0.824, 0.824, 0.560)
C (0.494, 0.494, 0.873)
B (0.456, 0.456, 0.376)
C (0.006, 0.006, 0.985)
B (0.670, 0.670, 0.343)
B (0.184, 0.184, 0.190)
B (0.673, 0.673, 0.854)

Properties
formation enthalpy at 0 K = 0.36 eV per atom
V = 6.5 Å³/atom
energy above the most stable polymorph in this dataset = 98 meV per atom